(1)
A relaxed structure of PaV2Mo. Source: Alexandria via LeMat-Bulk, functional PBE.

abc: 4.5692 4.5692 3.1878
angles: 90.00 90.00 90.00
Last column: nearest neighbours and their distance in Å.
Space group P4/mmm (No. 123)
Asymmetric unit:
Pa 0.0000 0.0000 0.0000  8 V 2.79
V 0.0000 0.5000 0.5000  4 Mo 2.79, 4 Pa 2.79
Mo 0.5000 0.5000 0.0000  8 V 2.79

Formation energy = 0.207 eV per atom
VASP energy = -9.434 eV/atom
Crystal system = tetragonal
Magnetization = 0.0 μB/cell

(2)
A relaxed structure of Pa2VMo. Source: Alexandria via LeMat-Bulk, functional PBE.

abc: 4.9331 4.9331 3.4127
angles: 90.00 90.00 90.00
Last column: nearest neighbours and their distance in Å.
Space group P4/mmm (No. 123)
Asymmetric unit:
Pa 0.0000 0.5000 0.0000  4 Mo 3.00, 4 V 3.00
V 0.0000 0.0000 0.5000  8 Pa 3.00
Mo 0.5000 0.5000 0.5000  8 Pa 3.00

Formation energy = 0.284 eV per atom
VASP energy = -9.451 eV/atom
Crystal system = tetragonal
Magnetization = 1.7 μB/cell

(3)
A relaxed structure of PaV2Mo. Source: Alexandria via LeMat-Bulk, functional PBE.

abc: 6.4100 6.4100 6.4100
angles: 90.00 90.00 90.00
Last column: nearest neighbours and their distance in Å.
Space group Fm-3m (No. 225)
Asymmetric unit:
Pa 0.0000 0.0000 0.0000  8 V 2.78
V 0.2500 0.2500 0.2500  4 Mo 2.78, 4 Pa 2.78
Mo 0.0000 0.0000 0.5000  8 V 2.78

Formation energy = 0.084 eV per atom
VASP energy = -9.558 eV/atom
Crystal system = cubic
Magnetization = 0.0 μB/cell

(4)
A relaxed structure of Pa2VMo. Source: Alexandria via LeMat-Bulk, functional PBE.

abc: 6.9270 6.9270 6.9270
angles: 90.00 90.00 90.00
Last column: nearest neighbours and their distance in Å.
Space group Fm-3m (No. 225)
Asymmetric unit:
Pa 0.2500 0.2500 0.2500  4 Mo 3.00, 4 V 3.00
V 0.0000 0.0000 0.0000  8 Pa 3.00
Mo 0.0000 0.0000 0.5000  8 Pa 3.00

Formation energy = 0.300 eV per atom
VASP energy = -9.436 eV/atom
Crystal system = cubic
Magnetization = 6.9 μB/cell

(5)
A relaxed structure of PaV2Mo. Source: Alexandria via LeMat-Bulk, functional PBE.

abc: 2.9962 2.9962 26.9413
angles: 90.00 90.00 120.00
Last column: nearest neighbours and their distance in Å.
Space group R-3m (No. 166, hexagonal axes)
Asymmetric unit:
Pa 0.0000 0.0000 0.0000  6 Pa 3.00, 6 V 3.12
V 0.0000 0.0000 0.2372  3 Mo 2.57
Mo 0.0000 0.0000 0.5000  6 V 2.57

Formation energy = 0.350 eV per atom
VASP energy = -9.291 eV/atom
Crystal system = trigonal
Magnetization = 0.0 μB/cell

(6)
A relaxed structure of PaV2Mo. Source: Alexandria via LeMat-Bulk, functional PBE.

abc: 3.2209 3.2209 6.4228
angles: 90.00 90.00 90.00
Last column: nearest neighbours and their distance in Å.
Space group P4/mmm (No. 123)
Asymmetric unit:
Pa 0.0000 0.0000 0.0000  8 V 2.85
V 0.5000 0.5000 0.2656  4 Mo 2.73, 4 Pa 2.85, 1 V 3.01
Mo 0.0000 0.0000 0.5000  8 V 2.73

Formation energy = 0.169 eV per atom
VASP energy = -9.472 eV/atom
Crystal system = tetragonal
Magnetization = 0.0 μB/cell

(7)
A relaxed structure of ZrPaVMo. Source: Alexandria via LeMat-Bulk, functional PBE.

abc: 6.7389 6.7389 6.7389
angles: 90.00 90.00 90.00
Last column: nearest neighbours and their distance in Å.
Space group F-43m (No. 216)
Asymmetric unit:
Zr 0.0000 0.0000 0.0000  4 V 2.92, 4 Mo 2.92
Pa 0.0000 0.0000 0.5000  4 Mo 2.92, 4 V 2.92
V 0.2500 0.2500 0.2500  4 Zr 2.92, 4 Pa 2.92
Mo 0.2500 0.2500 0.7500  4 Zr 2.92, 4 Pa 2.92

Formation energy = 0.077 eV per atom
VASP energy = -9.421 eV/atom
Crystal system = cubic
Magnetization = 0.0 μB/cell

(8)
A relaxed structure of Pa2MoW. Source: Alexandria via LeMat-Bulk, functional PBE.

abc: 2.9778 2.9778 32.3791
angles: 90.00 90.00 120.00
Last column: nearest neighbours and their distance in Å.
Space group R-3m (No. 166, hexagonal axes)
Asymmetric unit:
Pa 0.0000 0.0000 0.0873  1 W 2.83, 6 Pa 2.98, 3 Mo 3.09
Mo 0.0000 0.0000 0.5000  6 Mo 2.98, 6 Pa 3.09
W 0.0000 0.0000 0.0000  2 Pa 2.83, 6 W 2.98

Formation energy = 0.687 eV per atom
VASP energy = -10.007 eV/atom
Crystal system = trigonal
Magnetization = 0.0 μB/cell

(9)
A relaxed structure of PaMo2W. Source: Alexandria via LeMat-Bulk, functional PBE.

abc: 6.5958 6.5958 6.5958
angles: 90.00 90.00 90.00
Last column: nearest neighbours and their distance in Å.
Space group Fm-3m (No. 225)
Asymmetric unit:
Pa 0.0000 0.0000 0.0000  8 Mo 2.86
Mo 0.2500 0.2500 0.2500  4 W 2.86, 4 Pa 2.86
W 0.0000 0.0000 0.5000  8 Mo 2.86

Formation energy = 0.065 eV per atom
VASP energy = -10.963 eV/atom
Crystal system = cubic
Magnetization = 0.0 μB/cell

(10)
A relaxed structure of PaMo2W. Source: Alexandria via LeMat-Bulk, functional PBE.

abc: 3.3065 3.3065 6.6099
angles: 90.00 90.00 90.00
Last column: nearest neighbours and their distance in Å.
Space group P4/mmm (No. 123)
Asymmetric unit:
Pa 0.0000 0.0000 0.0000  8 Mo 2.92
Mo 0.5000 0.5000 0.2637  4 W 2.81, 4 Pa 2.92, 1 Mo 3.12
W 0.0000 0.0000 0.5000  8 Mo 2.81

Formation energy = 0.175 eV per atom
VASP energy = -10.853 eV/atom
Crystal system = tetragonal
Magnetization = 0.0 μB/cell

(11)
A relaxed structure of Pa2MoW. Source: Alexandria via LeMat-Bulk, functional PBE.

abc: 3.4783 3.4783 6.9583
angles: 90.00 90.00 90.00
Last column: nearest neighbours and their distance in Å.
Space group P4/mmm (No. 123)
Asymmetric unit:
Pa 0.0000 0.0000 0.2498  4 Mo 3.01, 4 W 3.01
Mo 0.5000 0.5000 0.0000  8 Pa 3.01
W 0.5000 0.5000 0.5000  8 Pa 3.01

Formation energy = 0.306 eV per atom
VASP energy = -10.388 eV/atom
Crystal system = tetragonal
Magnetization = 0.0 μB/cell

(12)
A relaxed structure of Pa2MoW. Source: Alexandria via LeMat-Bulk, functional PBE.

abc: 6.9618 6.9618 6.9618
angles: 90.00 90.00 90.00
Last column: nearest neighbours and their distance in Å.
Space group Fm-3m (No. 225)
Asymmetric unit:
Pa 0.2500 0.2500 0.2500  4 W 3.01, 4 Mo 3.01
Mo 0.0000 0.0000 0.0000  8 Pa 3.01
W 0.0000 0.0000 0.5000  8 Pa 3.01

Formation energy = 0.319 eV per atom
VASP energy = -10.375 eV/atom
Crystal system = cubic
Magnetization = 0.0 μB/cell

(13)
A relaxed structure of ZrPaMoW. Source: Alexandria via LeMat-Bulk, functional PBE.

abc: 6.8053 6.8053 6.8053
angles: 90.00 90.00 90.00
Last column: nearest neighbours and their distance in Å.
Space group F-43m (No. 216)
Asymmetric unit:
Zr 0.0000 0.0000 0.0000  4 Mo 2.95, 4 W 2.95
Pa 0.0000 0.0000 0.5000  4 W 2.95, 4 Mo 2.95
Mo 0.2500 0.2500 0.2500  4 Zr 2.95, 4 Pa 2.95
W 0.2500 0.2500 0.7500  4 Zr 2.95, 4 Pa 2.95

Formation energy = 0.096 eV per atom
VASP energy = -10.361 eV/atom
Crystal system = cubic
Magnetization = 0.0 μB/cell

(14)
A relaxed structure of YPa2Mo. Source: Alexandria via LeMat-Bulk, functional PBE.

abc: 3.2158 3.2158 32.7434
angles: 90.00 90.00 120.00
Last column: nearest neighbours and their distance in Å.
Space group R-3m (No. 166, hexagonal axes)
Asymmetric unit:
Y 0.0000 0.0000 0.0000  2 Pa 3.19, 6 Y 3.22
Pa 0.0000 0.0000 0.0974  3 Mo 2.93, 1 Y 3.19, 6 Pa 3.22
Mo 0.0000 0.0000 0.5000  6 Pa 2.93, 6 Mo 3.22

Formation energy = 0.420 eV per atom
VASP energy = -8.652 eV/atom
Crystal system = trigonal
Magnetization = 0.0 μB/cell

(15)
A relaxed structure of YPaMo. Source: Alexandria via LeMat-Bulk, functional PBE.

abc: 3.4922 3.4922 11.3915
angles: 90.00 90.00 90.00
Last column: nearest neighbours and their distance in Å.
Space group I4mm (No. 107)
Asymmetric unit:
Y 0.0000 0.0000 0.0000  5 Mo 3.24-3.60, 5 Pa 3.35-3.44, 4 Y 3.49
Pa 0.0000 0.0000 0.3016  4 Mo 2.81
Mo 0.0000 0.0000 0.6844  4 Pa 2.81

Formation energy = 0.114 eV per atom
VASP energy = -8.817 eV/atom
Crystal system = tetragonal
Magnetization = 0.0 μB/cell

(16)
A relaxed structure of PaZnMo. Source: Alexandria via LeMat-Bulk, functional PBE.

abc: 3.3007 3.3007 10.8021
angles: 90.00 90.00 90.00
Last column: nearest neighbours and their distance in Å.
Space group I4mm (No. 107)
Asymmetric unit:
Pa 0.0000 0.0000 0.0000  4 Mo 2.92, 5 Zn 3.13-3.25
Zn 0.0000 0.0000 0.2900  4 Mo 2.71
Mo 0.0000 0.0000 0.6618  4 Zn 2.71, 4 Pa 2.92

Formation energy = 0.243 eV per atom
VASP energy = -6.957 eV/atom
Crystal system = tetragonal
Magnetization = 0.0 μB/cell

(17)
A relaxed structure of PaZnMo. Source: Alexandria via LeMat-Bulk, functional PBE.

abc: 3.4176 3.4176 9.4228
angles: 90.00 90.00 90.00
Last column: nearest neighbours and their distance in Å.
Space group P4/nmm (No. 129, origin choice 2)
Asymmetric unit:
Pa 0.2500 0.2500 0.1024  4 Mo 2.87, 1 Zn 3.03, 4 Pa 3.09
Zn 0.2500 0.2500 0.4237  4 Zn 2.81, 5 Mo 2.84-2.92, 1 Pa 3.03
Mo 0.2500 0.2500 0.7339  5 Zn 2.84-2.92, 4 Pa 2.87

Formation energy = 0.074 eV per atom
VASP energy = -7.126 eV/atom
Crystal system = tetragonal
Magnetization = 0.0 μB/cell

(18)
A relaxed structure of PaZn2Mo. Source: Alexandria via LeMat-Bulk, functional PBE.

abc: 6.6502 6.6502 6.6502
angles: 90.00 90.00 90.00
Last column: nearest neighbours and their distance in Å.
Space group Fm-3m (No. 225)
Asymmetric unit:
Pa 0.0000 0.0000 0.0000  8 Zn 2.88
Zn 0.2500 0.2500 0.2500  4 Mo 2.88, 4 Pa 2.88
Mo 0.0000 0.0000 0.5000  8 Zn 2.88

Formation energy = 0.261 eV per atom
VASP energy = -5.457 eV/atom
Crystal system = cubic
Magnetization = 0.0 μB/cell

(19)
A relaxed structure of PaZn2Mo. Source: Alexandria via LeMat-Bulk, functional PBE.

abc: 4.8327 6.3509 5.0285
angles: 90.00 107.07 90.00
Last column: nearest neighbours and their distance in Å.
Space group P2_1/m (No. 11)
Asymmetric unit:
Pa 0.0454 0.2500 0.1422  2 Mo 2.50-2.69
Zn 0.4269 0.0499 0.7319  3 Zn 2.54-2.70, 3 Mo 2.73-2.83
Mo 0.0955 0.7500 0.3776  2 Pa 2.50-2.69, 4 Zn 2.73-2.77

Formation energy = -0.049 eV per atom
VASP energy = -5.768 eV/atom
Crystal system = monoclinic
Magnetization = 0.0 μB/cell

(20)
A relaxed structure of PaZnMo. Source: Alexandria via LeMat-Bulk, functional PBE.

abc: 4.8390 4.8390 2.8446
angles: 90.00 90.00 120.00
Last column: nearest neighbours and their distance in Å.
Space group P-6m2 (No. 187)
Asymmetric unit:
Pa 0.0000 0.0000 0.0000  2 Pa 2.84, 6 Mo 3.14, 6 Zn 3.14
Zn 0.3333 0.6667 0.5000  3 Mo 2.79, 2 Zn 2.84
Mo 0.6667 0.3333 0.5000  3 Zn 2.79, 2 Mo 2.84

Formation energy = 0.259 eV per atom
VASP energy = -6.942 eV/atom
Crystal system = hexagonal
Magnetization = 0.0 μB/cell

(21)
A relaxed structure of PaZn17Mo. Source: Alexandria via LeMat-Bulk, functional PBE.

abc: 8.8629 8.8629 13.0523
angles: 90.00 90.00 120.00
Last column: nearest neighbours and their distance in Å.
Space group R3m (No. 160, hexagonal axes)
Asymmetric unit:
Pa 0.0000 0.0000 0.0000  16 Zn 3.15-3.25
Zn 0.0000 0.0000 0.2415  4 Zn 2.58
Zn 0.0000 0.0000 0.4395  7 Zn 2.58-2.85, 1 Mo 2.79
Zn 0.0073 0.3038 0.3347  7 Zn 2.55-2.82
Zn 0.0173 0.5086 0.1940  9 Zn 2.54-2.82
Zn 0.0252 0.5126 0.8283  10 Zn 2.55-2.85
Zn 0.0500 0.5250 0.4828  6 Zn 2.54-2.70
Mo 0.0000 0.0000 0.6534  13 Zn 2.79-3.07

Formation energy = 0.038 eV per atom
VASP energy = -2.172 eV/atom
Crystal system = trigonal
Magnetization = 7.3 μB/cell

(22)
A relaxed structure of ZrPaMo2. Source: Alexandria via LeMat-Bulk, functional PBE.

abc: 3.4059 3.4059 6.7522
angles: 90.00 90.00 90.00
Last column: nearest neighbours and their distance in Å.
Space group P4/mmm (No. 123)
Asymmetric unit:
Zr 0.0000 0.0000 0.0000  8 Mo 2.98
Pa 0.0000 0.0000 0.5000  8 Mo 2.90
Mo 0.5000 0.5000 0.2610  4 Pa 2.90, 4 Zr 2.98, 1 Mo 3.23

Formation energy = 0.013 eV per atom
VASP energy = -9.913 eV/atom
Crystal system = tetragonal
Magnetization = 0.0 μB/cell

(23)
A relaxed structure of ZrPaMo2. Source: Alexandria via LeMat-Bulk, functional PBE.

abc: 6.7878 6.7878 6.7878
angles: 90.00 90.00 90.00
Last column: nearest neighbours and their distance in Å.
Space group Fm-3m (No. 225)
Asymmetric unit:
Zr 0.0000 0.0000 0.0000  8 Mo 2.94
Pa 0.0000 0.0000 0.5000  8 Mo 2.94
Mo 0.2500 0.2500 0.2500  4 Zr 2.94, 4 Pa 2.94

Formation energy = -0.018 eV per atom
VASP energy = -9.944 eV/atom
Crystal system = cubic
Magnetization = 0.0 μB/cell

(24)
A relaxed structure of ZrPa2Mo. Source: Alexandria via LeMat-Bulk, functional PBE.

abc: 3.3504 3.3504 8.2391
angles: 90.00 90.00 90.00
Last column: nearest neighbours and their distance in Å.
Space group P4/mmm (No. 123)
Asymmetric unit:
Zr 0.0000 0.0000 0.0000  8 Pa 3.33, 4 Zr 3.35
Pa 0.5000 0.5000 0.2834  4 Mo 2.97
Mo 0.0000 0.0000 0.5000  8 Pa 2.97

Formation energy = 0.209 eV per atom
VASP energy = -9.384 eV/atom
Crystal system = tetragonal
Magnetization = 0.0 μB/cell

(25)
A relaxed structure of ZrPa2Mo. Source: Alexandria via LeMat-Bulk, functional PBE.

abc: 3.1402 3.1402 31.8222
angles: 90.00 90.00 120.00
Last column: nearest neighbours and their distance in Å.
Space group R-3m (No. 166, hexagonal axes)
Asymmetric unit:
Zr 0.0000 0.0000 0.0000  2 Pa 2.99, 6 Zr 3.14
Pa 0.0000 0.0000 0.0940  3 Mo 2.94, 1 Zr 2.99, 6 Pa 3.14
Mo 0.0000 0.0000 0.5000  6 Pa 2.94, 6 Mo 3.14

Formation energy = 0.383 eV per atom
VASP energy = -9.210 eV/atom
Crystal system = trigonal
Magnetization = 0.0 μB/cell

(26)
A relaxed structure of Mo2Pb. Source: Alexandria via LeMat-Bulk, functional PBE.

abc: 5.4468 5.4468 9.0121
angles: 90.00 90.00 120.00
Last column: nearest neighbours and their distance in Å.
Space group P6_3/mmc (No. 194)
Asymmetric unit:
Mo 0.0000 0.0000 0.0000  6 Mo 2.77
Mo 0.1710 0.3420 0.2500  6 Mo 2.65-2.79
Pb 0.3333 0.6667 0.5635  12 Mo 3.20-3.21, 4 Pb 3.35-3.36

Formation energy = 0.628 eV per atom
VASP energy = -7.829 eV/atom
Crystal system = hexagonal
Magnetization = 0.0 μB/cell

(27)
A relaxed structure of MoPb3. Source: Alexandria via LeMat-Bulk, functional PBE.

abc: 5.4129 5.4129 5.4129
angles: 90.00 90.00 90.00
Last column: nearest neighbours and their distance in Å.
Space group Pm-3m (No. 221)
Asymmetric unit:
Mo 0.0000 0.0000 0.0000  6 Pb 2.71
Pb 0.0000 0.0000 0.5000  2 Mo 2.71

Formation energy = 0.495 eV per atom
VASP energy = -4.994 eV/atom
Crystal system = cubic
Magnetization = 0.0 μB/cell

(28)
A relaxed structure of Mo2Pb. Source: Alexandria via LeMat-Bulk, functional PBE.

abc: 10.5548 3.2944 6.7833
angles: 90.00 101.94 90.00
Last column: nearest neighbours and their distance in Å.
Space group Cm (No. 8)
Asymmetric unit:
Mo 0.0000 0.0000 0.0000  2 Mo 2.55
Mo 0.0949 0.5000 0.7829  3 Mo 2.55-2.83
Mo 0.2088 0.5000 0.3870  2 Mo 2.58
Mo 0.3221 0.0000 0.6604  3 Mo 2.58-2.83, 1 Pb 2.88
Pb 0.2786 0.0000 0.0651  8 Mo 2.88-2.97
Pb 0.4905 0.5000 0.4362  8 Mo 2.90-3.05

Formation energy = 0.619 eV per atom
VASP energy = -7.838 eV/atom
Crystal system = monoclinic
Magnetization = 0.0 μB/cell

(29)
A relaxed structure of Mo2Pb. Source: Alexandria via LeMat-Bulk, functional PBE.

abc: 4.6351 4.6351 2.9805
angles: 90.00 90.00 120.00
Last column: nearest neighbours and their distance in Å.
Space group P-3m1 (No. 164)
Asymmetric unit:
Mo 0.3333 0.6667 0.1321  5 Mo 2.79-2.98, 3 Pb 2.89
Pb 0.0000 0.0000 0.5000  6 Mo 2.89, 2 Pb 2.98

Formation energy = 0.714 eV per atom
VASP energy = -7.743 eV/atom
Crystal system = trigonal
Magnetization = 0.0 μB/cell